1.
Crystalline Cd2AsOs at its relaxed geometry. Source: Alexandria via LeMat-Bulk, functional PBE.

Lattice parameters (Å, degrees): 3.9495 3.9495 9.1794 90.00 90.00 90.00
Space group I4/mmm (No. 139)
Inequivalent atoms, fractional coordinates:
Cd 0.0000 0.5000 0.2500 [4 per cell]
As 0.0000 0.0000 0.0000 [2 per cell]
Os 0.0000 0.0000 0.5000 [2 per cell]

Output
For the total magnetization, the calculation gives 0.00 μB per formula unit. The formation enthalpy at 0 K comes out at 0.57 eV/atom.



2.
Crystalline CdAs2Os at its relaxed geometry. Source: Alexandria via LeMat-Bulk, functional PBE.

Lattice parameters (Å, degrees): 3.0191 3.0191 8.3243 90.00 90.00 90.00
Space group P4mm (No. 99)
Inequivalent atoms, fractional coordinates:
Cd 0.0000 0.0000 0.0000 [1 per cell]
As 0.0000 0.0000 0.4044 [1 per cell]
As 0.5000 0.5000 0.7303 [1 per cell]
Os 0.5000 0.5000 0.2462 [1 per cell]

Output
For the total magnetization, the calculation gives 0.00 μB per formula unit. The formation enthalpy at 0 K comes out at 0.26 eV/atom.



3.
Crystalline CdAs2Os at its relaxed geometry. Source: Alexandria via LeMat-Bulk, functional PBE.

Lattice parameters (Å, degrees): 3.0287 3.0287 29.4330 90.00 90.00 120.00
Space group R-3m (No. 166, hexagonal axes)
Inequivalent atoms, fractional coordinates:
Cd 0.0000 0.0000 0.0000 [3 per cell]
As 0.0000 0.0000 0.2307 [6 per cell]
Os 0.0000 0.0000 0.5000 [3 per cell]

Output
For the total magnetization, the calculation gives 0.00 μB per formula unit. The formation enthalpy at 0 K comes out at 0.13 eV/atom.



4.
Crystalline CdAsOs2 at its relaxed geometry. Source: Alexandria via LeMat-Bulk, functional PBE.

Lattice parameters (Å, degrees): 3.0343 3.0343 6.8939 90.00 90.00 90.00
Space group P4/mmm (No. 123)
Inequivalent atoms, fractional coordinates:
Cd 0.0000 0.0000 0.0000 [1 per cell]
As 0.0000 0.0000 0.5000 [1 per cell]
Os 0.5000 0.5000 0.2917 [2 per cell]

Output
For the total magnetization, the calculation gives 0.00 μB per formula unit. The formation enthalpy at 0 K comes out at 0.56 eV/atom. The calculation puts the distance to the lowest polymorph of the same formula at 0.281 eV per atom.



5.
Crystalline CdAsOs2 at its relaxed geometry. Source: Alexandria via LeMat-Bulk, functional PBE.

Lattice parameters (Å, degrees): 7.3022 7.3022 5.3134 90.00 90.00 90.00
Space group I-42d (No. 122)
Inequivalent atoms, fractional coordinates:
Cd 0.0000 0.0000 0.0000 [4 per cell]
As 0.0000 0.0000 0.5000 [4 per cell]
Os 0.1884 0.2500 0.6250 [8 per cell]

Output
For the total magnetization, the calculation gives 0.00 μB per formula unit. The formation enthalpy at 0 K comes out at 0.83 eV/atom. The calculation puts the distance to the lowest polymorph of the same formula at 0.558 eV per atom.



6.
Crystalline Cd2AsOs at its relaxed geometry. Source: Alexandria via LeMat-Bulk, functional PBE.

Lattice parameters (Å, degrees): 3.0159 5.0371 10.7266 90.00 90.00 90.00
Space group Cmm2 (No. 35)
Inequivalent atoms, fractional coordinates:
Cd 0.0000 0.0000 0.0000 [2 per cell]
Cd 0.0000 0.5000 0.2707 [2 per cell]
As 0.0000 0.0000 0.5938 [2 per cell]
Os 0.0000 0.5000 0.7718 [2 per cell]

Output
For the total magnetization, the calculation gives 0.00 μB per formula unit. The formation enthalpy at 0 K comes out at 0.34 eV/atom.



7.
Crystalline CdAs2Os at its relaxed geometry. Source: Alexandria via LeMat-Bulk, functional PBE.

Lattice parameters (Å, degrees): 4.5541 3.7759 8.8401 90.00 90.00 90.00
Space group Amm2 (No. 38)
Inequivalent atoms, fractional coordinates:
Cd 0.0000 0.0000 0.0000 [2 per cell]
As 0.0000 0.0000 0.7141 [2 per cell]
As 0.5000 0.0000 0.2949 [2 per cell]
Os 0.5000 0.0000 0.5906 [2 per cell]

Output
For the total magnetization, the calculation gives 0.00 μB per formula unit. The formation enthalpy at 0 K comes out at 0.37 eV/atom.



8.
Crystalline Cd2AsOs at its relaxed geometry. Source: Alexandria via LeMat-Bulk, functional PBE.

Lattice parameters (Å, degrees): 2.9842 3.9767 13.8480 90.00 90.00 90.00
Space group Immm (No. 71)
Inequivalent atoms, fractional coordinates:
Cd 0.0000 0.0000 0.1839 [4 per cell]
As 0.0000 0.5000 0.0000 [2 per cell]
Os 0.0000 0.5000 0.5000 [2 per cell]

Output
For the total magnetization, the calculation gives 0.00 μB per formula unit. The formation enthalpy at 0 K comes out at 0.29 eV/atom.



9.
Crystalline CdAs2Os at its relaxed geometry. Source: Alexandria via LeMat-Bulk, functional PBE.

Lattice parameters (Å, degrees): 3.0069 4.8094 11.2577 90.00 90.00 90.00
Space group Immm (No. 71)
Inequivalent atoms, fractional coordinates:
Cd 0.0000 0.0000 0.0000 [2 per cell]
As 0.0000 0.5000 0.1785 [4 per cell]
Os 0.0000 0.0000 0.5000 [2 per cell]

Output
For the total magnetization, the calculation gives 0.00 μB per formula unit. The formation enthalpy at 0 K comes out at 0.23 eV/atom.



10.
Crystalline CdAsOs2 at its relaxed geometry. Source: Alexandria via LeMat-Bulk, functional PBE.

Lattice parameters (Å, degrees): 2.9265 2.9265 25.9523 90.00 90.00 120.00
Space group R-3m (No. 166, hexagonal axes)
Inequivalent atoms, fractional coordinates:
Cd 0.0000 0.0000 0.0000 [3 per cell]
As 0.0000 0.0000 0.5000 [3 per cell]
Os 0.0000 0.0000 0.2384 [6 per cell]

Output
For the total magnetization, the calculation gives 0.00 μB per formula unit. The formation enthalpy at 0 K comes out at 0.48 eV/atom. The calculation puts the distance to the lowest polymorph of the same formula at 0.206 eV per atom.



11.
Crystalline CdAsOs2 at its relaxed geometry. Source: Alexandria via LeMat-Bulk, functional PBE.

Lattice parameters (Å, degrees): 4.1803 4.1803 7.4765 90.00 90.00 90.00
Space group I-4m2 (No. 119)
Inequivalent atoms, fractional coordinates:
Cd 0.0000 0.0000 0.0000 [2 per cell]
As 0.0000 0.5000 0.2500 [2 per cell]
Os 0.0000 0.0000 0.5000 [2 per cell]
Os 0.0000 0.5000 0.7500 [2 per cell]

Output
For the total magnetization, the calculation gives 0.00 μB per formula unit. The formation enthalpy at 0 K comes out at 0.85 eV/atom. The calculation puts the distance to the lowest polymorph of the same formula at 0.571 eV per atom.



12.
Crystalline CdAsOs2 at its relaxed geometry. Source: Alexandria via LeMat-Bulk, functional PBE.

Lattice parameters (Å, degrees): 2.8877 2.8877 8.3743 90.00 90.00 90.00
Space group P4mm (No. 99)
Inequivalent atoms, fractional coordinates:
Cd 0.0000 0.0000 0.0000 [1 per cell]
As 0.5000 0.5000 0.6558 [1 per cell]
Os 0.0000 0.0000 0.4525 [1 per cell]
Os 0.5000 0.5000 0.2470 [1 per cell]

Output
For the total magnetization, the calculation gives 0.00 μB per formula unit. The formation enthalpy at 0 K comes out at 0.30 eV/atom. The calculation puts the distance to the lowest polymorph of the same formula at 0.027 eV per atom.